(1)
Computed, not measured: an optimized crystal structure of CoBAs2 at the PBE level of DFT.

Properties
The calculation puts the volume at 253.4 Å³ per cell. As for the formation energy: 180 meV/atom. The uncorrected energy comes out at -5.5906 eV per atom.

abc: 5.2014 5.2014 9.3660
angles: 90.00 90.00 90.00
Space group I-42d (No. 122)
Inequivalent atoms, fractional coordinates:
Co (0.0000, 0.0000, 0.0000) x4
B (0.0000, 0.0000, 0.5000) x4
As (0.2177, 0.2500, 0.6250) x8


(2)
Computed, not measured: an optimized crystal structure of CoB3As at the PBE level of DFT.

Properties
The offset from the most stable computed form is 0 meV per atom. The calculation puts the volume at 56.5 Å³ per cell. As for the formation energy: 1159 meV/atom. The uncorrected energy comes out at -5.1981 eV per atom.

abc: 3.8381 3.8381 3.8381
angles: 90.00 90.00 90.00
Space group Pm-3m (No. 221)
Inequivalent atoms, fractional coordinates:
Co (0.0000, 0.0000, 0.0000) x1
B (0.0000, 0.0000, 0.5000) x3
As (0.5000, 0.5000, 0.5000) x1


(3)
Computed, not measured: an optimized crystal structure of CoB3As at the PBE level of DFT.

Properties
The offset from the most stable computed form is 985 meV per atom. The calculation puts the volume at 67.2 Å³ per cell. As for the formation energy: 2145 meV/atom. The uncorrected energy comes out at -4.2129 eV per atom.

abc: 4.0646 4.0646 4.0646
angles: 90.00 90.00 90.00
Space group Pm-3m (No. 221)
Inequivalent atoms, fractional coordinates:
Co (0.0000, 0.0000, 0.0000) x1
B (0.0000, 0.5000, 0.5000) x3
As (0.5000, 0.5000, 0.5000) x1


(4)
Computed, not measured: an optimized crystal structure of CoBAs2 at the PBE level of DFT.

Properties
The calculation puts the volume at 177.8 Å³ per cell. As for the formation energy: 646 meV/atom. The uncorrected energy comes out at -5.1241 eV per atom.

abc: 3.0964 3.0964 21.4170
angles: 90.00 90.00 120.00
Space group R-3m (No. 166, hexagonal axes)
Inequivalent atoms, fractional coordinates:
Co (0.0000, 0.0000, 0.0000) x3
B (0.0000, 0.0000, 0.5000) x3
As (0.0000, 0.0000, 0.1057) x6


(5)
Computed, not measured: an optimized crystal structure of Cr2CoBAs at the PBE level of DFT.

Properties
The calculation puts the volume at 86.9 Å³ per cell. As for the formation energy: 1458 meV/atom. The uncorrected energy comes out at -6.0775 eV per atom.

abc: 4.5396 4.5396 4.2170
angles: 90.00 90.00 90.00
Space group P4/mmm (No. 123)
Inequivalent atoms, fractional coordinates:
Cr (0.0000, 0.5000, 0.0000) x2
Co (0.0000, 0.0000, 0.0000) x1
B (0.5000, 0.5000, 0.5000) x1
As (0.0000, 0.0000, 0.5000) x1


(6)
Computed, not measured: an optimized crystal structure of CoGeBAs2 at the PBE level of DFT.

Properties
The calculation puts the volume at 82.3 Å³ per cell. As for the formation energy: 538 meV/atom. The uncorrected energy comes out at -5.0018 eV per atom.

abc: 4.7226 4.7226 3.6884
angles: 90.00 90.00 90.00
Space group P4/mmm (No. 123)
Inequivalent atoms, fractional coordinates:
Co (0.0000, 0.0000, 0.0000) x1
Ge (0.5000, 0.5000, 0.5000) x1
B (0.0000, 0.0000, 0.5000) x1
As (0.0000, 0.5000, 0.0000) x2